First-principles (PBE-GGA) data for a geometry-optimized Ga2Rh structure, as listed in the Alexandria database.

Output
The value obtained for the magnetization is 0.00 Bohr magnetons per cell. As for the formation energy: -459 meV per atom. The raw total energy is -59.13 eV for the cell shown.

abc: 4.074 4.074 12.456
angles: 90.00 90.00 90.00
Atoms (fractional coordinates):
Ga  0.000  0.500  0.000
Ga  0.000  0.500  0.250
Ga  0.000  0.500  0.500
Ga  0.000  0.500  0.750
Ga  0.500  0.000  0.000
Ga  0.500  0.000  0.250
Ga  0.500  0.000  0.500
Ga  0.500  0.000  0.750
Rh  0.000  0.000  0.119
Rh  0.000  0.000  0.881
Rh  0.500  0.500  0.381
Rh  0.500  0.500  0.619